No. 1
The following is a PBE calculation of a relaxed CsSmCuSe2 crystal, from the Alexandria database.

Cell: 4.7425 8.5167 8.3867 Å, 98.75 90.00 90.00°
Atoms (fractional coordinates):
1 Cs 0.1717 0.5000 0.7500
2 Cs 0.8283 0.5000 0.2500
3 Sm 0.4938 0.0000 0.2500
4 Sm 0.5062 0.0000 0.7500
5 Cu 0.0000 0.0000 0.0000
6 Cu 0.0000 0.0000 0.5000
7 Se 0.6826 0.7839 0.9683
8 Se 0.6826 0.2161 0.5317
9 Se 0.3174 0.7839 0.4683
10 Se 0.3174 0.2161 0.0317

Results
* electronic total energy: -4.3512 eV/atom
* formation energy from raw total energies: -1.02 eV per atom

=====

No. 2
The following is a PBE calculation of a relaxed CsSm2CuSe4 crystal, from the Alexandria database.

Cell: 4.2357 7.7348 14.6744 Å, 90.00 90.00 105.89°
Atoms (fractional coordinates):
1 Cs 0.1071 0.2143 0.7500
2 Cs 0.8929 0.7857 0.2500
3 Sm 0.6341 0.2681 0.4381
4 Sm 0.3659 0.7319 0.5619
5 Sm 0.6341 0.2681 0.0619
6 Sm 0.3659 0.7319 0.9381
7 Cu 0.8353 0.6705 0.7500
8 Cu 0.1647 0.3295 0.2500
9 Se 0.5775 0.1551 0.2500
10 Se 0.4225 0.8449 0.7500
11 Se 0.2584 0.5167 0.3910
12 Se 0.7416 0.4833 0.6090
13 Se 0.0000 0.0000 0.0000
14 Se 0.0000 0.0000 0.5000
15 Se 0.2584 0.5167 0.1090
16 Se 0.7416 0.4833 0.8910

Results
* electronic total energy: -5.0454 eV/atom
* formation energy from raw total energies: -1.50 eV per atom

=====

No. 3
The following is a PBE calculation of a relaxed CsSmCuSe3 crystal, from the Alexandria database.

Cell: 4.2025 9.7976 10.1518 Å, 110.98 90.00 90.00°
Atoms (fractional coordinates):
1 Cs 0.2500 0.2114 0.2482
2 Cs 0.7500 0.7886 0.7518
3 Sm 0.2500 0.6738 0.1406
4 Sm 0.7500 0.3262 0.8594
5 Cu 0.2500 0.0846 0.6127
6 Cu 0.7500 0.9154 0.3873
7 Se 0.7500 0.8804 0.1383
8 Se 0.2500 0.1196 0.8617
9 Se 0.2500 0.8274 0.4555
10 Se 0.7500 0.1726 0.5445
11 Se 0.7500 0.4750 0.1640
12 Se 0.2500 0.5250 0.8360

Results
* electronic total energy: -4.5372 eV/atom
* formation energy from raw total energies: -1.18 eV per atom

=====

No. 4
The following is a PBE calculation of a relaxed CsCu2Sn2Se6 crystal, from the Alexandria database.

Cell: 6.8914 10.5765 7.4217 Å, 119.91 93.86 64.17°
Atoms (fractional coordinates):
1 Cs 0.5000 0.0000 0.5000
2 Cu 0.1783 0.6900 0.7478
3 Cu 0.8217 0.3100 0.2522
4 Sn 0.7853 0.4236 0.8440
5 Sn 0.2147 0.5764 0.1560
6 Se 0.4108 0.6976 0.9981
7 Se 0.0487 0.3570 0.0932
8 Se 0.1070 0.8054 0.5423
9 Se 0.9513 0.6430 0.9068
10 Se 0.8930 0.1946 0.4577
11 Se 0.5892 0.3024 0.0019

Results
* electronic total energy: -3.8248 eV/atom
* formation energy from raw total energies: -0.37 eV per atom

=====

No. 5
The following is a PBE calculation of a relaxed Cs2Cu2SnSe4 crystal, from the Alexandria database.

Cell: 4.2773 6.7411 9.1722 Å, 89.58 103.48 89.99°
Atoms (fractional coordinates):
1 Cs 0.2124 0.7542 0.4247
2 Cs 0.7876 0.2458 0.5753
3 Cu 0.5689 0.4059 0.1390
4 Cu 0.4311 0.5941 0.8610
5 Sn 0.0000 0.0000 0.0000
6 Se 0.5580 0.7665 0.1158
7 Se 0.8808 0.7303 0.7613
8 Se 0.4420 0.2335 0.8842
9 Se 0.1192 0.2697 0.2387

Results
* electronic total energy: -3.6663 eV/atom
* formation energy from raw total energies: -0.57 eV per atom

=====

No. 6
The following is a PBE calculation of a relaxed CsCu2SnSe4 crystal, from the Alexandria database.

Cell: 6.6362 7.2385 7.2385 Å, 75.68 62.72 62.72°
Atoms (fractional coordinates):
1 Cs 0.0000 0.0000 0.0000
2 Cu 0.1312 0.3688 0.3688
3 Cu 0.8688 0.6312 0.6312
4 Sn 0.5000 0.5000 0.5000
5 Se 0.4200 0.1813 0.5079
6 Se 0.1092 0.8187 0.4921
7 Se 0.8908 0.5079 0.1813
8 Se 0.5800 0.4921 0.8187

Results
* electronic total energy: -3.7723 eV/atom
* formation energy from raw total energies: -0.40 eV per atom

=====

- Which of these has the highest formation energy from raw total energies?
  CsCu2Sn2Se6

=====

- The highest formation energy from raw total energies belongs to which entry?
  CsCu2Sn2Se6

=====

- Which value of electronic total energy does entry 3 give?
  -4.5372 eV/atom

=====

- Which of these has the lowest electronic total energy?
  CsSm2CuSe4